PaP2W: optimized geometry, PBE-GGA.

The distance to the lowest polymorph of the same formula is 0.0 meV per atom. The density is 11.9 g cm⁻³. The crystal system is tetragonal. As for the energy of formation: -0.374 eV per atom.

The structure belongs to space group P4/mmm (No. 123); the cell edges are 3.180, 3.180 and 6.572 Å and the angles 90.00°, 90.00° and 90.00°. Symmetry generates all atoms from Pa at (0.000, 0.000, 0.000), P at (0.500, 0.500, 0.287) and W at (0.000, 0.000, 0.500).